Entry 1:
Na2ZnInAu6 | PBE-GGA | optimized geometry

a b c (Å): 7.227 7.227 7.227
angles (deg): 60.00 60.00 90.00
Fractional coordinates of all 10 atoms:
Na: 0.250 0.750 0.500
Na: 0.750 0.250 0.500
Zn: 0.500 0.500 0.000
In: 0.000 0.000 0.000
Au: 0.259 0.741 0.000
Au: 0.741 0.741 0.000
Au: 0.259 0.259 0.482
Au: 0.741 0.259 0.000
Au: 0.259 0.259 0.000
Au: 0.741 0.741 0.518

Output
DFT total energy ... -2.581 eV per atom
V ... 267 Å³ per cell
DOS at the Fermi energy ... 1.62 states/eV/cell
E_form ... 0.500 eV/f.u.
Space group ... Fm-3m, No. 225
Crystal system ... cubic
Spin magnetization ... 0.000 μB/f.u.



Entry 2:
NdTcRh | PBE-GGA | optimized geometry

a b c (Å): 4.832 3.415 10.266
angles (deg): 90.00 90.00 135.04
Fractional coordinates of all 6 atoms:
Rh: 0.695 0.390 0.000
Rh: 0.194 0.388 0.500
Tc: 0.694 0.388 0.617
Tc: 0.694 0.388 0.383
Nd: 0.195 0.389 0.823
Nd: 0.195 0.389 0.177

Output
DFT total energy ... -7.435 eV per atom
V ... 120 Å³ per cell
DOS at the Fermi energy ... 7.37 states/eV/cell
E_form ... 0.181 eV/f.u.
Space group ... Cmmm, No. 65
Crystal system ... orthorhombic
Spin magnetization ... 0.185 μB/f.u.



Entry 3:
La4Pr2In3 | PBE-GGA | optimized geometry

a b c (Å): 4.671 6.125 13.077
angles (deg): 122.38 90.00 112.41
Fractional coordinates of all 9 atoms:
La: 0.773 0.545 0.114
La: 0.227 0.455 0.886
La: 0.900 0.799 0.552
La: 0.100 0.201 0.448
Pr: 0.566 0.132 0.217
Pr: 0.434 0.868 0.783
In: 0.670 0.341 0.670
In: 0.000 0.000 0.000
In: 0.330 0.659 0.330

Output
DFT total energy ... -4.506 eV per atom
V ... 282 Å³ per cell
DOS at the Fermi energy ... 10.69 states/eV/cell
E_form ... -3.067 eV/f.u.
Space group ... C2/m, No. 12
Crystal system ... monoclinic
Spin magnetization ... 0.001 μB/f.u.



Entry 4:
MgTlPt | PBE-GGA | optimized geometry

a b c (Å): 4.656 4.672 7.719
angles (deg): 107.53 90.00 119.88
Fractional coordinates of all 6 atoms:
Pt: 0.747 0.494 0.740
Pt: 0.253 0.506 0.260
Tl: 0.883 0.766 0.147
Tl: 0.117 0.234 0.853
Mg: 0.625 0.250 0.375
Mg: 0.375 0.750 0.625

Output
DFT total energy ... -3.712 eV per atom
V ... 137 Å³ per cell
DOS at the Fermi energy ... 2.90 states/eV/cell
E_form ... -1.133 eV/f.u.
Space group ... C2/m, No. 12
Crystal system ... monoclinic
Spin magnetization ... 0.000 μB/f.u.



Entry 5:
BSeS3 | PBE-GGA | optimized geometry

a b c (Å): 4.792 4.792 4.792
angles (deg): 90.00 90.00 90.00
Fractional coordinates of all 5 atoms:
S: 0.000 0.500 0.000
S: 0.000 0.000 0.500
S: 0.500 0.000 0.000
B: 0.500 0.500 0.500
Se: 0.000 0.000 0.000

Output
Formation energy (no corrections) ... 1540 meV/atom
DFT total energy ... -2.968 eV per atom
V ... 110 Å³ per cell
DOS at the Fermi energy ... 3.68 states/eV/cell
Space group ... Pm-3m, No. 221
Crystal system ... cubic
Relative energy among the computed polymorphs ... 0.6998 eV/atom
Spin magnetization ... 0.000 μB/f.u.



Entry 6:
Pm3Nd3Sm8 | PBE-GGA | optimized geometry

a b c (Å): 5.754 9.878 9.878
angles (deg): 102.44 73.05 73.05
Fractional coordinates of all 14 atoms:
Pm: 0.500 0.000 0.000
Pm: 0.000 0.816 0.184
Pm: 0.000 0.184 0.816
Nd: 0.500 0.500 0.500
Nd: 0.804 0.197 0.197
Nd: 0.196 0.803 0.803
Sm: 0.660 0.118 0.562
Sm: 0.340 0.882 0.438
Sm: 0.660 0.562 0.118
Sm: 0.340 0.438 0.882
Sm: 0.839 0.765 0.558
Sm: 0.161 0.235 0.442
Sm: 0.839 0.558 0.765
Sm: 0.161 0.442 0.235

Output
DFT total energy ... -4.631 eV per atom
V ... 485 Å³ per cell
DOS at the Fermi energy ... 19.24 states/eV/cell
E_form ... 1.470 eV/f.u.
Space group ... Immm, No. 71
Crystal system ... orthorhombic
Spin magnetization ... 0.000 μB/f.u.



Entry 7:
CuGeSe2 | PBE-GGA | optimized geometry

a b c (Å): 7.715 7.715 7.715
angles (deg): 29.79 29.79 29.79
Fractional coordinates of all 4 atoms:
Ge: 0.500 0.500 0.500
Cu: 0.000 0.000 0.000
Se: 0.898 0.898 0.898
Se: 0.102 0.102 0.102

Output
Formation energy (no corrections) ... -29 meV/atom
DFT total energy ... -3.950 eV per atom
V ... 100 Å³ per cell
DOS at the Fermi energy ... 2.68 states/eV/cell
Space group ... R-3m, No. 166
Crystal system ... trigonal
Spin magnetization ... 0.000 μB/f.u.



Entry 8:
SrCrRe2 | PBE-GGA | optimized geometry

a b c (Å): 2.803 2.803 9.438
angles (deg): 90.00 90.00 109.43
Fractional coordinates of all 4 atoms:
Cr: 0.500 0.500 0.795
Re: 0.000 0.000 0.988
Re: 0.500 0.500 0.213
Sr: 0.000 0.000 0.504

Output
DFT total energy ... -8.161 eV per atom
V ... 70 Å³ per cell
DOS at the Fermi energy ... 4.07 states/eV/cell
E_form ... 3.559 eV/f.u.
Space group ... Cmm2, No. 35
Crystal system ... orthorhombic
Relative energy among the computed polymorphs ... 0.2668 eV/atom
Spin magnetization ... 0.003 μB/f.u.